Record 1
Computed, not measured: a relaxed Ba2TcPtC crystal at the PBE level of DFT.

The value obtained for the formation energy is 0.297 eV/atom. Its final energy is -5.599 eV/atom.

The structure belongs to space group P4/mmm (No. 123); the cell edges are 5.761, 5.761 and 3.932 Å and the angles 90.00°, 90.00° and 90.00°. The inequivalent atoms are Ba at (0.000, 0.500, 0.000), Tc at (0.000, 0.000, 0.500), Pt at (0.500, 0.500, 0.500) and C at (0.000, 0.000, 0.000).

Record 2
Computed, not measured: a relaxed Ba2TlPtC crystal at the PBE level of DFT.

The value obtained for the formation energy is -0.232 eV/atom. Its final energy is -4.527 eV/atom.

The structure belongs to space group P4/mmm (No. 123); the cell edges are 6.112, 6.112 and 3.894 Å and the angles 90.00°, 90.00° and 90.00°. The inequivalent atoms are Ba at (0.000, 0.500, 0.000), Tl at (0.000, 0.000, 0.500), Pt at (0.500, 0.500, 0.500) and C at (0.500, 0.500, 0.000).

Record 3
Computed, not measured: a relaxed BaPuC crystal at the PBE level of DFT.

The value obtained for the formation energy is 0.318 eV/atom. Its final energy is -8.175 eV/atom.

The structure belongs to space group Pbcm (No. 57); the cell edges are 10.266, 8.399 and 4.030 Å and the angles 90.00°, 90.00° and 90.00°. The inequivalent atoms are Ba at (0.207, 0.008, 0.250), Pu at (0.483, 0.671, 0.250) and C at (0.415, 0.079, 0.750).

Record 4
Computed, not measured: a relaxed RbBaC3 crystal at the PBE level of DFT.

The value obtained for the formation energy is 2.845 eV/atom. Its final energy is -3.267 eV/atom.

The structure belongs to space group Pm-3m (No. 221); the cell edges are 5.758, 5.758 and 5.758 Å and the angles 90.00°, 90.00° and 90.00°. The inequivalent atoms are Rb at (0.000, 0.000, 0.000), Ba at (0.500, 0.500, 0.500) and C at (0.000, 0.500, 0.500).

Record 5
Computed, not measured: a relaxed RbBaC3 crystal at the PBE level of DFT.

The value obtained for the formation energy is 3.209 eV/atom. Its final energy is -2.903 eV/atom.

The structure belongs to space group Pm-3m (No. 221); the cell edges are 5.227, 5.227 and 5.227 Å and the angles 90.00°, 90.00° and 90.00°. The inequivalent atoms are Rb at (0.000, 0.000, 0.000), Ba at (0.500, 0.500, 0.500) and C at (0.000, 0.000, 0.500).

Record 6
Computed, not measured: a relaxed RbBaC2 crystal at the PBE level of DFT.

The value obtained for the formation energy is 2.014 eV/atom. Its final energy is -3.320 eV/atom.

The structure belongs to space group Fm-3m (No. 225); the cell edges are 7.365, 7.365 and 7.365 Å and the angles 90.00°, 90.00° and 90.00°. The inequivalent atoms are Rb at (0.000, 0.000, 0.000), Ba at (0.000, 0.000, 0.500) and C at (0.250, 0.250, 0.250).

Record 7
Computed, not measured: a relaxed Rb2Ba2C crystal at the PBE level of DFT.

The value obtained for the formation energy is 0.729 eV/atom. Its final energy is -2.272 eV/atom.

The structure belongs to space group P4/mbm (No. 127); the cell edges are 8.051, 8.051 and 8.392 Å and the angles 90.00°, 90.00° and 90.00°. The inequivalent atoms are Rb at (0.185, 0.315, 0.000), Ba at (0.208, 0.708, 0.500) and C at (0.000, 0.000, 0.500).

Record 8
Computed, not measured: a relaxed RbBaC2 crystal at the PBE level of DFT.

The value obtained for the formation energy is 2.178 eV/atom. Its final energy is -3.156 eV/atom.

The structure belongs to space group I-42d (No. 122); the cell edges are 5.455, 5.455 and 17.398 Å and the angles 90.00°, 90.00° and 90.00°. The inequivalent atoms are Rb at (0.000, 0.000, 0.000), Ba at (0.000, 0.000, 0.500) and C at (0.066, 0.250, 0.625).